Record 1
The following is a PBE-GGA calculation of PaSe after structural relaxation, from Alexandria via LeMat-Bulk.

Results
Space-group type   Pmmn (59)
Formation energy from raw total energies   -53 kJ/mol of atoms
Magnetization   0.60 μB/f.u.
Relative energy among the computed polymorphs   646 meV/atom

Cell: 4.3186 4.3141 6.8284 Å, 90.00 90.00 90.00°
Last column: magnetic moment on the atom in μB.
Fractional positions:
Pa 0.2499 0.7500 0.9996  0.56
Pa 0.7501 0.2500 0.0004  0.56
Se 0.7498 0.7500 0.7088  -0.02
Se 0.2502 0.2500 0.2912  -0.02

---

Record 2
The following is a PBE-GGA calculation of LuNbAlRe after structural relaxation, from Alexandria via LeMat-Bulk.

Results
Space-group type   F-43m (216)
Total energy   -7.845 eV/atom
Magnetization   0.00 μB/f.u.

Cell: 4.6844 4.6844 4.6844 Å, 60.00 60.00 60.00°
Fractional positions:
Re 0.7500 0.7500 0.7500
Nb 0.0000 0.0000 0.0000
Lu 0.5000 0.5000 0.5000
Al 0.2500 0.2500 0.2500

---

Record 3
The following is a PBE-GGA calculation of Pm15HoTl4 after structural relaxation, from Alexandria via LeMat-Bulk.

Results
Space-group type   P4/mmm (123)
Total energy   -4.419 eV/atom
Magnetization   0.01 μB/f.u.

Cell: 4.9602 4.9602 25.3448 Å, 90.00 90.00 90.00°
Fractional positions:
Pm 0.5000 0.5000 0.0000
Pm 0.5000 0.5000 0.2039
Pm 0.5000 0.5000 0.4016
Pm 0.5000 0.5000 0.5984
Pm 0.5000 0.5000 0.7961
Pm 0.5000 0.0000 0.1043
Pm 0.5000 0.0000 0.3029
Pm 0.5000 0.0000 0.5000
Pm 0.5000 0.0000 0.6971
Pm 0.5000 0.0000 0.8957
Pm 0.0000 0.5000 0.1043
Pm 0.0000 0.5000 0.3029
Pm 0.0000 0.5000 0.5000
Pm 0.0000 0.5000 0.6971
Pm 0.0000 0.5000 0.8957
Ho 0.0000 0.0000 0.0000
Tl 0.0000 0.0000 0.2058
Tl 0.0000 0.0000 0.4016
Tl 0.0000 0.0000 0.5984
Tl 0.0000 0.0000 0.7942

---

Record 4
The following is a PBE-GGA calculation of BaCa3Rh after structural relaxation, from Alexandria via LeMat-Bulk.

Results
Space-group type   P4mm (99)
Magnetization   0.00 μB/f.u.
Relative energy among the computed polymorphs   338 meV/atom

Cell: 4.5182 4.5182 10.4569 Å, 90.00 90.00 90.00°
Fractional positions:
Ca 0.0000 0.0000 0.6986
Ca 0.5000 0.0000 0.4330
Ca 0.0000 0.5000 0.4330
Rh 0.5000 0.5000 0.6048
Ba 0.0000 0.0000 0.0944

---

Record 5
The following is a PBE-GGA calculation of RbMgAuI2 after structural relaxation, from Alexandria via LeMat-Bulk.

Results
Space-group type   P4/mmm (123)
Formation energy from raw total energies   -16 kJ/mol of atoms
Magnetization   0.00 μB/f.u.

Cell: 5.7631 6.5473 5.7631 Å, 90.00 90.00 90.00°
Fractional positions:
I 0.0000 0.0000 0.5000
I 0.5000 0.0000 0.0000
Mg 0.5000 0.5000 0.5000
Au 0.0000 0.0000 0.0000
Rb 0.0000 0.5000 0.0000

---

Record 6
The following is a PBE-GGA calculation of RbNaNpBr6 after structural relaxation, from Alexandria via LeMat-Bulk.

Results
Space-group type   P-31c (163)
Formation energy from raw total energies   -141 kJ/mol of atoms
Magnetization   3.00 μB/f.u.

Cell: 7.5907 7.5907 14.8934 Å, 90.00 90.00 120.00°
Last column: magnetic moment on the atom in μB.
Fractional positions:
Rb 0.0000 0.0000 0.0000  0.00
Rb 0.0000 0.0000 0.5000  0.00
Na 0.3333 0.6667 0.2500  0.00
Na 0.6667 0.3333 0.7500  0.00
Np 0.6667 0.3333 0.2500  3.21
Np 0.3333 0.6667 0.7500  3.21
Br 0.6433 0.6198 0.1416  -0.04
Br 0.9765 0.3567 0.1416  -0.04
Br 0.3567 0.9765 0.6416  -0.04
Br 0.0235 0.6433 0.8584  -0.04
Br 0.3802 0.3567 0.3584  -0.04
Br 0.9765 0.6198 0.3584  -0.04
Br 0.6198 0.9765 0.8584  -0.04
Br 0.6433 0.0235 0.3584  -0.04
Br 0.0235 0.3802 0.6416  -0.04
Br 0.3802 0.0235 0.1416  -0.04
Br 0.6198 0.6433 0.6416  -0.04
Br 0.3567 0.3802 0.8584  -0.04